(1)
# PBE Mg6SnC, optimized geometry
# Crystal system: orthorhombic
# V, Å³ per atom: 21.0
# ρ, g/cm³: 2.74
# E_form, eV/atom: 0.37
data_Mg6SnC
_cell_length_a 4.544
_cell_length_b 5.916
_cell_length_c 12.474
_cell_angle_alpha 90.00
_cell_angle_beta 90.00
_cell_angle_gamma 90.00
_symmetry_space_group_name_H-M 'A m m 2'
_symmetry_Int_Tables_number 38
loop_
_symmetry_equiv_pos_as_xyz
'x,y,z'
'-x,-y,z'
'-x,y,z'
'x,-y,z'
'x,y+1/2,z+1/2'
'-x,-y+1/2,z+1/2'
'-x,y+1/2,z+1/2'
'x,-y+1/2,z+1/2'
loop_
_atom_site_label
_atom_site_type_symbol
_atom_site_fract_x
_atom_site_fract_y
_atom_site_fract_z
_atom_site_occupancy
Mg1 Mg 0.000 0.000 0.000 1
Mg2 Mg 0.000 0.226 0.275 1
Mg3 Mg 0.500 0.000 0.855 1
Mg4 Mg 0.500 0.248 0.112 1
Sn1 Sn 0.000 0.000 0.518 1
C1 C 0.500 0.000 0.247 1

---

(2)
# PBE La4SiRhI2, optimized geometry
# Crystal system: monoclinic
# V, Å³ per atom: 33.0
# ρ, g/cm³: 5.91
# Formation energy (no corrections), eV/atom: -0.976
data_La4SiRhI2
_cell_length_a 7.715
_cell_length_b 4.289
_cell_length_c 8.313
_cell_angle_alpha 90.00
_cell_angle_beta 106.16
_cell_angle_gamma 90.00
_symmetry_space_group_name_H-M 'P 1 2/m 1'
_symmetry_Int_Tables_number 10
loop_
_symmetry_equiv_pos_as_xyz
'x,y,z'
'-x,-y,-z'
'-x,y,-z'
'x,-y,z'
loop_
_atom_site_label
_atom_site_type_symbol
_atom_site_fract_x
_atom_site_fract_y
_atom_site_fract_z
_atom_site_occupancy
La1 La 0.224 0.000 0.192 1
La2 La 0.255 0.500 0.810 1
Si1 Si 0.500 0.000 0.000 1
Rh1 Rh 0.000 0.500 0.000 1
I1 I 0.000 0.000 0.500 1
I2 I 0.500 0.500 0.500 1

---

(3)
# PBE BeIr3Os, optimized geometry
# Crystal system: cubic
# V, Å³ per atom: 21.1
# ρ, g/cm³: 12.22
# E_form, eV/atom: 2.08
data_BeIr3Os
_cell_length_a 4.724
_cell_length_b 4.724
_cell_length_c 4.724
_cell_angle_alpha 90.00
_cell_angle_beta 90.00
_cell_angle_gamma 90.00
_symmetry_space_group_name_H-M 'P m -3 m'
_symmetry_Int_Tables_number 221
_symmetry_space_group_name_Hall '-P 4 2 3'
loop_
_atom_site_label
_atom_site_type_symbol
_atom_site_fract_x
_atom_site_fract_y
_atom_site_fract_z
_atom_site_occupancy
Be1 Be 0.000 0.000 0.000 1
Ir1 Ir 0.000 0.500 0.500 1
Os1 Os 0.500 0.500 0.500 1

---

(4)
# PBE SmAl12Co4, optimized geometry
# Crystal system: cubic
# V, Å³ per atom: 21.1
# ρ, g/cm³: 3.28
# E_form, eV/atom: -0.14
data_SmAl12Co4
_cell_length_a 8.957
_cell_length_b 8.957
_cell_length_c 8.957
_cell_angle_alpha 90.00
_cell_angle_beta 90.00
_cell_angle_gamma 90.00
_symmetry_space_group_name_H-M 'I m -3'
_symmetry_Int_Tables_number 204
_symmetry_space_group_name_Hall '-I 2 2 3'
loop_
_atom_site_label
_atom_site_type_symbol
_atom_site_fract_x
_atom_site_fract_y
_atom_site_fract_z
_atom_site_occupancy
Sm1 Sm 0.000 0.000 0.000 1
Al1 Al 0.000 0.259 0.260 1
Co1 Co 0.250 0.250 0.250 1